DFT (PBE-GGA) results for LiTaCl6 after structural relaxation.

Output
Its uncorrected formation energy is -1.426 eV per atom. As for the offset from the most stable computed form: 0.0234 eV/atom. The value obtained for the density is 3.217 g/cm3.

Unit cell a=6.8365 b=6.8365 c=6.8365 alpha=56.34 beta=56.34 gamma=56.34
Fractional positions:
Li 0.0000 0.0000 0.0000
Ta 0.5000 0.5000 0.5000
Cl 0.1305 0.7304 0.4010
Cl 0.2696 0.5990 0.8695
Cl 0.4010 0.1305 0.7304
Cl 0.5990 0.8695 0.2696
Cl 0.7304 0.4010 0.1305
Cl 0.8695 0.2696 0.5990